Record 1
Entry from Alexandria via LeMat-Bulk: PmHo4Th after structural relaxation (GGA-PBE).

Relative energy among the computed polymorphs in kJ per mole of atoms: 0.0
Symmetry: C2/m
Calculated formation energy in eV/f.u.: 0.131
Total energy in eV for the cell shown: -30.350

Unit cell a=3.554 b=9.414 c=11.782 alpha=148.74 beta=89.98 gamma=100.89
Positions (direct):
Ho 0.172 0.344 0.505
Pm 0.500 0.000 0.500
Ho 0.828 0.656 0.495
Th 0.000 0.000 0.000
Ho 0.662 0.324 0.996
Ho 0.338 0.677 0.004


Record 2
Entry from Alexandria via LeMat-Bulk: GdEr2Sc after structural relaxation (GGA-PBE).

Relative energy among the computed polymorphs in kJ per mole of atoms: 0.0
Symmetry: P4/mmm
Calculated formation energy in eV/f.u.: 0.171
Total energy in eV for the cell shown: -29.367

Unit cell a=4.921 b=4.878 c=4.878 alpha=90.00 beta=90.00 gamma=90.00
Site moments in Bohr magnetons follow the coordinates.
Positions (direct):
Er 0.000 0.000 0.500  -0.06
Gd 0.500 0.000 0.000  7.14
Er 0.000 0.500 0.000  -0.06
Sc 0.500 0.500 0.500  -0.07


Record 3
Entry from Alexandria via LeMat-Bulk: Na2La2Ga after structural relaxation (GGA-PBE).

Relative energy among the computed polymorphs in kJ per mole of atoms: 0.0
Symmetry: I4/mmm
Calculated formation energy in eV/f.u.: 0.093
Total energy in eV for the cell shown: -15.427

Unit cell a=4.058 b=4.058 c=10.527 alpha=78.89 beta=78.89 gamma=90.00
Positions (direct):
La 0.579 0.579 0.843
La 0.421 0.421 0.157
Na 0.750 0.250 0.500
Ga 0.000 0.000 0.000
Na 0.250 0.750 0.500